(1)
This record from Alexandria via LeMat-Bulk describes crystalline Y2NiRh at its relaxed geometry. The functional is GGA-PBEsol.

Unit cell a=4.0027 b=3.8102 c=10.4627 alpha=90.00 beta=90.00 gamma=90.00
With the nearest neighbours (Å) after each atom.
Fractional coordinates of all 8 atoms:
Y  0.0000  0.0000  0.0000  4 Ni 2.84, 3 Rh 2.95-2.97
Y  0.0000  0.5000  0.5000  4 Ni 2.84, 3 Rh 2.95-2.97
Y  0.5000  0.0000  0.2838  4 Rh 2.85, 3 Ni 2.94-2.98
Y  0.5000  0.5000  0.7838  4 Rh 2.85, 3 Ni 2.94-2.98
Ni  0.5000  0.0000  0.5643  2 Rh 2.56, 4 Y 2.84
Ni  0.5000  0.5000  0.0643  2 Rh 2.56, 4 Y 2.84
Rh  0.0000  0.0000  0.7177  2 Ni 2.56, 4 Y 2.85
Rh  0.0000  0.5000  0.2177  2 Ni 2.56, 4 Y 2.85

Computed properties:
Its space group is Amm2. The calculation puts the total energy at -7.58 eV/atom. Its density of states at the Fermi level is 0.6001 states/eV per atom. The crystal system is orthorhombic.

(2)
This record from Alexandria via LeMat-Bulk describes crystalline ZnNiRh2 at its relaxed geometry. The functional is GGA-PBEsol.

Unit cell a=8.5005 b=2.6521 c=4.5869 alpha=90.00 beta=100.41 gamma=90.00
With the nearest neighbours (Å) after each atom.
Fractional coordinates of all 8 atoms:
Zn  0.0000  0.0000  0.0000  6 Rh 2.59-2.62, 4 Ni 2.65, 2 Zn 2.65
Zn  0.5000  0.5000  0.0000  6 Rh 2.59-2.62, 4 Ni 2.65, 2 Zn 2.65
Ni  0.0000  0.5000  0.5000  6 Rh 2.56-2.59, 4 Zn 2.65, 2 Ni 2.65
Ni  0.5000  0.0000  0.5000  6 Rh 2.56-2.59, 4 Zn 2.65, 2 Ni 2.65
Rh  0.2474  0.0000  0.7433  3 Ni 2.56-2.59, 3 Zn 2.59-2.62, 6 Rh 2.60-2.70
Rh  0.2526  0.5000  0.2567  3 Ni 2.56-2.59, 3 Zn 2.59-2.62, 6 Rh 2.60-2.70
Rh  0.7474  0.5000  0.7433  3 Ni 2.56-2.59, 3 Zn 2.59-2.62, 6 Rh 2.60-2.70
Rh  0.7526  0.0000  0.2567  3 Ni 2.56-2.59, 3 Zn 2.59-2.62, 6 Rh 2.60-2.70

Computed properties:
Its space group is C2/m. The calculation puts the total energy at -6.11 eV/atom. Its density of states at the Fermi level is 1.4120 states/eV per atom. The crystal system is monoclinic.

(3)
This record from Alexandria via LeMat-Bulk describes crystalline ZnNiRh2 at its relaxed geometry. The functional is GGA-PBEsol.

Unit cell a=2.6627 b=3.6909 c=5.1644 alpha=90.00 beta=90.00 gamma=90.00
With the nearest neighbours (Å) after each atom.
Fractional coordinates of all 4 atoms:
Zn  0.0000  0.0000  0.0000  6 Rh 2.51-2.65, 4 Ni 2.60, 2 Zn 2.66
Ni  0.5000  0.5000  0.2423  6 Rh 2.57-2.60, 4 Zn 2.60, 2 Ni 2.66
Rh  0.0000  0.0000  0.4869  2 Zn 2.51-2.65, 4 Ni 2.60, 6 Rh 2.62-2.66
Rh  0.5000  0.5000  0.7392  2 Ni 2.57-2.60, 6 Rh 2.62-2.66, 4 Zn 2.64

Computed properties:
Its space group is Pmm2. The calculation puts the total energy at -6.10 eV/atom. Its density of states at the Fermi level is 1.2243 states/eV per atom. The crystal system is orthorhombic.

(4)
This record from Alexandria via LeMat-Bulk describes crystalline ZnNiRh2 at its relaxed geometry. The functional is GGA-PBEsol.

Unit cell a=2.6745 b=2.6745 c=7.0630 alpha=90.00 beta=90.00 gamma=90.00
With the nearest neighbours (Å) after each atom.
Fractional coordinates of all 4 atoms:
Zn  0.0000  0.0000  0.0000  4 Ni 2.51, 4 Rh 2.65, 4 Zn 2.67
Ni  0.5000  0.5000  0.2339  4 Zn 2.51, 4 Rh 2.56, 4 Ni 2.67
Rh  0.0000  0.0000  0.4774  4 Ni 2.56, 8 Rh 2.63-2.67
Rh  0.5000  0.5000  0.7370  8 Rh 2.63-2.67, 4 Zn 2.65

Computed properties:
Its space group is P4mm. The calculation puts the total energy at -6.11 eV/atom. Its density of states at the Fermi level is 1.4420 states/eV per atom. The crystal system is tetragonal.

(5)
This record from Alexandria via LeMat-Bulk describes crystalline ZnNiRh2 at its relaxed geometry. The functional is GGA-PBEsol.

Unit cell a=2.7198 b=4.4815 c=8.5096 alpha=90.00 beta=90.00 gamma=90.00
With the nearest neighbours (Å) after each atom.
Fractional coordinates of all 8 atoms:
Zn  0.0000  0.0000  0.0000  4 Rh 2.55, 6 Zn 2.62-2.72
Zn  0.5000  0.5000  0.0000  4 Rh 2.55, 6 Zn 2.62-2.72
Ni  0.0000  0.0000  0.5000  4 Rh 2.50, 6 Ni 2.62-2.72
Ni  0.5000  0.5000  0.5000  4 Rh 2.50, 6 Ni 2.62-2.72
Rh  0.0000  0.5000  0.2537  2 Ni 2.50, 2 Zn 2.55, 6 Rh 2.62-2.72
Rh  0.0000  0.5000  0.7463  2 Ni 2.50, 2 Zn 2.55, 6 Rh 2.62-2.72
Rh  0.5000  0.0000  0.2537  2 Ni 2.50, 2 Zn 2.55, 6 Rh 2.62-2.72
Rh  0.5000  0.0000  0.7463  2 Ni 2.50, 2 Zn 2.55, 6 Rh 2.62-2.72

Computed properties:
Its space group is Cmmm. The calculation puts the total energy at -5.95 eV/atom. Its density of states at the Fermi level is 1.5907 states/eV per atom. The crystal system is orthorhombic.

(6)
This record from Alexandria via LeMat-Bulk describes crystalline Zn2NiRh at its relaxed geometry. The functional is GGA-PBEsol.

Unit cell a=5.8296 b=5.8296 c=5.8296 alpha=90.00 beta=90.00 gamma=90.00
With the nearest neighbours (Å) after each atom.
Fractional coordinates of all 16 atoms:
Zn  0.2500  0.2500  0.2500  4 Ni 2.52, 4 Rh 2.52
Zn  0.2500  0.2500  0.7500  4 Ni 2.52, 4 Rh 2.52
Zn  0.2500  0.7500  0.2500  4 Ni 2.52, 4 Rh 2.52
Zn  0.2500  0.7500  0.7500  4 Ni 2.52, 4 Rh 2.52
Zn  0.7500  0.2500  0.2500  4 Ni 2.52, 4 Rh 2.52
Zn  0.7500  0.2500  0.7500  4 Ni 2.52, 4 Rh 2.52
Zn  0.7500  0.7500  0.2500  4 Ni 2.52, 4 Rh 2.52
Zn  0.7500  0.7500  0.7500  4 Ni 2.52, 4 Rh 2.52
Ni  0.0000  0.0000  0.0000  8 Zn 2.52
Ni  0.0000  0.5000  0.5000  8 Zn 2.52
Ni  0.5000  0.0000  0.5000  8 Zn 2.52
Ni  0.5000  0.5000  0.0000  8 Zn 2.52
Rh  0.0000  0.0000  0.5000  8 Zn 2.52
Rh  0.0000  0.5000  0.0000  8 Zn 2.52
Rh  0.5000  0.0000  0.0000  8 Zn 2.52
Rh  0.5000  0.5000  0.5000  8 Zn 2.52

Computed properties:
Its space group is Fm-3m. The calculation puts the total energy at -4.70 eV/atom. Its density of states at the Fermi level is 0.4034 states/eV per atom. The crystal system is cubic.

Calculated V, 79.8; 50.9; 50.8; 50.5; 51.9; 49.5 Å³/f.u. (same order as the records).
Calculated calculated formation energy, -2.4; -0.4; -0.4; -0.4; 0.2; -1.4 eV per formula unit (same order as the records).